# Ba2EuZn, relaxed, DFT PBE
data_Ba2EuZn
_space_group_name_H-M_alt 'P 1'
_space_group_IT_number 1
_space_group_name_Hall 'P 1'
_cell_length_a 4.167
_cell_length_b 4.167
_cell_length_c 12.846
_cell_angle_alpha 80.67
_cell_angle_beta 80.67
_cell_angle_gamma 60.00
loop_
_atom_site_label
_atom_site_type_symbol
_atom_site_fract_x
_atom_site_fract_y
_atom_site_fract_z
Eu1 Eu 0.000 0.000 0.000
Zn1 Zn 0.500 0.500 0.500
Ba1 Ba 0.104 0.104 0.689
Ba2 Ba 0.896 0.896 0.311
# SG: R-3m, No. 166
# M_tot: 7.52 μB/cell
# DOS(E_F): 1.40 states/eV per atom
# ΔE to the lowest computed polymorph: 203 meV per atom
# density: 4.3 g/cm³
# DFT formation energy: 144 meV/atom



# LaDy3Te4, relaxed, DFT PBE
data_LaDy3Te4
_space_group_name_H-M_alt 'P 1'
_space_group_IT_number 1
_space_group_name_Hall 'P 1'
_cell_length_a 4.353
_cell_length_b 7.678
_cell_length_c 7.678
_cell_angle_alpha 108.77
_cell_angle_beta 90.00
_cell_angle_gamma 90.00
loop_
_atom_site_label
_atom_site_type_symbol
_atom_site_fract_x
_atom_site_fract_y
_atom_site_fract_z
La1 La 0.500 0.000 0.000
Dy1 Dy 0.000 0.000 0.500
Dy2 Dy 0.500 0.500 0.500
Dy3 Dy 0.000 0.500 0.000
Te1 Te 0.000 0.261 0.261
Te2 Te 0.500 0.745 0.255
Te3 Te 0.000 0.739 0.739
Te4 Te 0.500 0.255 0.745
# SG: Cmmm, No. 65
# M_tot: 0.00 μB/cell
# DOS(E_F): 0.65 states/eV per atom
# uncorrected formation energy: -1.35 eV/atom
# density: 7.8 g/cm³



# RbTl2SnSb2, relaxed, DFT PBE
data_RbTl2SnSb2
_space_group_name_H-M_alt 'P 1'
_space_group_IT_number 1
_space_group_name_Hall 'P 1'
_cell_length_a 5.262
_cell_length_b 8.462
_cell_length_c 9.468
_cell_angle_alpha 90.00
_cell_angle_beta 90.00
_cell_angle_gamma 90.00
loop_
_atom_site_label
_atom_site_type_symbol
_atom_site_fract_x
_atom_site_fract_y
_atom_site_fract_z
Rb1 Rb 0.000 0.999 0.423
Rb2 Rb 0.000 0.499 0.577
Tl1 Tl 0.500 0.034 0.065
Tl2 Tl 0.000 0.348 0.172
Tl3 Tl 0.500 0.534 0.935
Tl4 Tl 0.000 0.848 0.828
Sn1 Sn 0.500 0.152 0.691
Sn2 Sn 0.500 0.652 0.309
Sb1 Sb 0.000 0.215 0.860
Sb2 Sb 0.500 0.297 0.356
Sb3 Sb 0.000 0.715 0.140
Sb4 Sb 0.500 0.797 0.644
# SG: Pmc2_1, No. 26
# M_tot: 0.00 μB/cell
# DOS(E_F): 0.40 states/eV per atom
# uncorrected formation energy: -0.12 eV/atom
# density: 6.7 g/cm³



# K3Sm3ScSe8, relaxed, DFT PBE
data_K3Sm3ScSe8
_space_group_name_H-M_alt 'P 1'
_space_group_IT_number 1
_space_group_name_Hall 'P 1'
_cell_length_a 8.363
_cell_length_b 8.370
_cell_length_c 9.241
_cell_angle_alpha 116.95
_cell_angle_beta 90.00
_cell_angle_gamma 119.97
loop_
_atom_site_label
_atom_site_type_symbol
_atom_site_fract_x
_atom_site_fract_y
_atom_site_fract_z
K1 K 0.000 0.000 0.000
K2 K 0.000 0.500 0.000
K3 K 0.500 0.500 0.000
Sm1 Sm 0.500 0.000 0.500
Sm2 Sm 0.500 0.500 0.500
Sm3 Sm 0.000 0.500 0.500
Sc1 Sc 0.000 0.000 0.500
Se1 Se 0.263 0.526 0.289
Se2 Se 0.737 0.474 0.711
Se3 Se 0.776 0.552 0.302
Se4 Se 0.224 0.448 0.698
Se5 Se 0.776 0.026 0.302
Se6 Se 0.224 0.974 0.698
Se7 Se 0.250 0.026 0.302
Se8 Se 0.750 0.974 0.698
# SG: C2/m, No. 12
# M_tot: 0.00 μB/cell
# DOS(E_F): 0.66 states/eV per atom
# uncorrected formation energy: -1.63 eV/atom
# density: 4.3 g/cm³



> The highest DOS(E_F) belongs to which entry?

Ba2EuZn



> What is the density in the first record?

4.3 g/cm³